Entry from Alexandria via LeMat-Bulk: an optimized crystal structure of Y2HoTi (PBE).

M_tot: 0.000 μB per cell
ΔH_f (0 K): 0.1765 eV per atom
DFT total energy: -6.174 eV per atom
offset from the most stable computed form: 0.0 meV/atom
Fermi-level density of states: 1.64 states/eV per atom

Geometry as POSCAR:
```
Y2HoTi
1.0
3.410 0.000 0.000
0.000 3.410 0.000
0.000 0.000 9.533
Y Ho Ti
2 1 1
Direct
0.000 0.000 0.220
0.000 0.000 0.780
0.500 0.500 0.500
0.500 0.500 0.000
```